# Ti3Zn3C

A relaxed Ti3Zn3C crystal (GGA-PBEsol, Alexandria).

Values from the calculation:
- E_form: -0.484 eV/atom
- Total magnetization: 0.003 μB/f.u.
- Space-group type: Fd-3m, No. 227

Cell lengths 8.0750, 8.0750, 8.0750 Å; angles 60.00, 60.00, 60.00 degrees
With the nearest neighbours (Å) after each atom.
Positions (direct):
Ti  0.0598  0.0598  0.6902  2 C 2.13
Ti  0.0598  0.6902  0.0598  2 C 2.13
Ti  0.0598  0.6902  0.6902  2 C 2.13
Ti  0.3098  0.3098  0.9402  2 C 2.13
Ti  0.3098  0.9402  0.3098  2 C 2.13
Ti  0.3098  0.9402  0.9402  2 C 2.13
Ti  0.6902  0.0598  0.0598  2 C 2.13
Ti  0.6902  0.0598  0.6902  2 C 2.13
Ti  0.6902  0.6902  0.0598  2 C 2.13
Ti  0.9402  0.3098  0.3098  2 C 2.13
Ti  0.9402  0.3098  0.9402  2 C 2.13
Ti  0.9402  0.9402  0.3098  2 C 2.13
Zn  0.0000  0.5000  0.5000  6 Zn 2.48
Zn  0.2905  0.2905  0.2905  6 Zn 2.48-2.73, 3 Ti 2.68
Zn  0.2905  0.2905  0.6285  6 Zn 2.48-2.73, 3 Ti 2.68
Zn  0.2905  0.6285  0.2905  6 Zn 2.48-2.73, 3 Ti 2.68
Zn  0.3715  0.7095  0.7095  6 Zn 2.48-2.73, 3 Ti 2.68
Zn  0.5000  0.0000  0.5000  6 Zn 2.48
Zn  0.5000  0.5000  0.0000  6 Zn 2.48
Zn  0.5000  0.5000  0.5000  6 Zn 2.48
Zn  0.6285  0.2905  0.2905  6 Zn 2.48-2.73, 3 Ti 2.68
Zn  0.7095  0.3715  0.7095  6 Zn 2.48-2.73, 3 Ti 2.68
Zn  0.7095  0.7095  0.3715  6 Zn 2.48-2.73, 3 Ti 2.68
Zn  0.7095  0.7095  0.7095  6 Zn 2.48-2.73, 3 Ti 2.68
C  0.0000  0.0000  0.0000  6 Ti 2.13
C  0.0000  0.0000  0.5000  6 Ti 2.13
C  0.0000  0.5000  0.0000  6 Ti 2.13
C  0.5000  0.0000  0.0000  6 Ti 2.13

# Ti3ZnC

A relaxed Ti3ZnC crystal (GGA-PBEsol, Alexandria).

Values from the calculation:
- E_form: -0.517 eV/atom
- Total magnetization: 0.000 μB/f.u.
- Space-group type: Pm-3m, No. 221

Cell lengths 4.1236, 4.1236, 4.1236 Å; angles 90.00, 90.00, 90.00 degrees
With the nearest neighbours (Å) after each atom.
Positions (direct):
Ti  0.0000  0.0000  0.5000  2 C 2.06
Ti  0.0000  0.5000  0.0000  2 C 2.06
Ti  0.5000  0.0000  0.0000  2 C 2.06
Zn  0.5000  0.5000  0.5000  12 Ti 2.92
C  0.0000  0.0000  0.0000  6 Ti 2.06

# ZrTiC2

A relaxed ZrTiC2 crystal (GGA-PBEsol, Alexandria).

Values from the calculation:
- E_form: -0.845 eV/atom
- Total magnetization: 0.000 μB/f.u.
- Space-group type: R-3m, No. 166

Cell lengths 5.4874, 5.4874, 5.4874 Å; angles 33.72, 33.72, 33.72 degrees
With the nearest neighbours (Å) after each atom.
Positions (direct):
Zr  0.0000  0.0000  0.0000  6 C 2.30
Ti  0.5000  0.5000  0.5000  6 C 2.20
C  0.2445  0.2445  0.2445  3 Ti 2.20, 3 Zr 2.30
C  0.7555  0.7555  0.7555  3 Ti 2.20, 3 Zr 2.30

# ZrTiC3

A relaxed ZrTiC3 crystal (GGA-PBEsol, Alexandria).

Values from the calculation:
- E_form: 1.003 eV/atom
- Total magnetization: 0.000 μB/f.u.
- Space-group type: Pm-3m, No. 221

Cell lengths 3.8999, 3.8999, 3.8999 Å; angles 90.00, 90.00, 90.00 degrees
With the nearest neighbours (Å) after each atom.
Positions (direct):
Zr  0.0000  0.0000  0.0000  12 C 2.76
Ti  0.5000  0.5000  0.5000  6 C 1.95
C  0.0000  0.5000  0.5000  2 Ti 1.95
C  0.5000  0.0000  0.5000  2 Ti 1.95
C  0.5000  0.5000  0.0000  2 Ti 1.95

# ZrTi2C

A relaxed ZrTi2C crystal (GGA-PBEsol, Alexandria).

Values from the calculation:
- E_form: 0.410 eV/atom
- Total magnetization: 0.000 μB/f.u.
- Space-group type: I-42d, No. 122

Cell lengths 5.8676, 5.8676, 5.8676 Å; angles 118.24, 118.24, 93.07 degrees
With the nearest neighbours (Å) after each atom.
Positions (direct):
Zr  0.0000  0.0000  0.0000  4 Ti 2.99
Zr  0.7500  0.2500  0.5000  4 Ti 2.99
Ti  0.2695  0.1250  0.6445  2 C 1.92
Ti  0.3750  0.7305  0.8555  2 C 1.92
Ti  0.4805  0.6250  0.3555  2 C 1.92
Ti  0.8750  0.5195  0.1445  2 C 1.92
C  0.2500  0.7500  0.5000  4 Ti 1.92
C  0.5000  0.5000  0.0000  4 Ti 1.92

# Zr3TiC

A relaxed Zr3TiC crystal (GGA-PBEsol, Alexandria).

Values from the calculation:
- E_form: -0.229 eV/atom
- Total magnetization: 0.011 μB/f.u.
- Space-group type: Pm-3m, No. 221

Cell lengths 4.5186, 4.5186, 4.5186 Å; angles 90.00, 90.00, 90.00 degrees
With the nearest neighbours (Å) after each atom.
Positions (direct):
Zr  0.0000  0.0000  0.5000  2 C 2.26
Zr  0.0000  0.5000  0.0000  2 C 2.26
Zr  0.5000  0.0000  0.0000  2 C 2.26
Ti  0.5000  0.5000  0.5000  12 Zr 3.20
C  0.0000  0.0000  0.0000  6 Zr 2.26

# Tl2C

A relaxed Tl2C crystal (GGA-PBEsol, Alexandria).

Values from the calculation:
- E_form: 0.730 eV/atom
- Total magnetization: 0.000 μB/f.u.
- Space-group type: C2/m, No. 12

Cell lengths 6.3248, 6.3248, 6.5521 Å; angles 94.58, 94.58, 32.54 degrees
With the nearest neighbours (Å) after each atom.
Positions (direct):
Tl  0.1060  0.1060  0.3222  2 C 2.58
Tl  0.1657  0.1657  0.8142  2 C 2.77
Tl  0.8343  0.8343  0.1858  2 C 2.77
Tl  0.8940  0.8940  0.6778  2 C 2.58
C  0.4995  0.4995  0.0987  1 C 1.30
C  0.5005  0.5005  0.9013  1 C 1.30

# Tl3C2

A relaxed Tl3C2 crystal (GGA-PBEsol, Alexandria).

Values from the calculation:
- E_form: 1.606 eV/atom
- Total magnetization: 0.001 μB/f.u.
- Space-group type: R-3m, No. 166

Cell lengths 8.2791, 8.2791, 8.2791 Å; angles 25.11, 25.11, 25.11 degrees
With the nearest neighbours (Å) after each atom.
Positions (direct):
Tl  0.0000  0.0000  0.0000  6 C 2.52
Tl  0.2200  0.2200  0.2200  3 C 2.45
Tl  0.7800  0.7800  0.7800  3 C 2.45
C  0.3925  0.3925  0.3925  6 Tl 2.45-2.52
C  0.6075  0.6075  0.6075  6 Tl 2.45-2.52

# Tl2WC

A relaxed Tl2WC crystal (GGA-PBEsol, Alexandria).

Values from the calculation:
- E_form: 2.308 eV/atom
- Total magnetization: 1.583 μB/f.u.
- Space-group type: Fm-3m, No. 225

Cell lengths 4.7072, 4.7072, 4.7072 Å; angles 60.00, 60.00, 60.00 degrees
With the nearest neighbours (Å) after each atom.
Positions (direct):
Tl  0.2500  0.2500  0.2500  4 C 2.88, 4 W 2.88
Tl  0.7500  0.7500  0.7500  4 W 2.88, 4 C 2.88
W  0.0000  0.0000  0.0000  8 Tl 2.88
C  0.5000  0.5000  0.5000  8 Tl 2.88

# TlWC3

A relaxed TlWC3 crystal (GGA-PBEsol, Alexandria).

Values from the calculation:
- E_form: 1.744 eV/atom
- Total magnetization: 0.001 μB/f.u.
- Space-group type: Pm-3m, No. 221

Cell lengths 4.1567, 4.1567, 4.1567 Å; angles 90.00, 90.00, 90.00 degrees
With the nearest neighbours (Å) after each atom.
Positions (direct):
Tl  0.0000  0.0000  0.0000  12 C 2.94
W  0.5000  0.5000  0.5000  6 C 2.08
C  0.0000  0.5000  0.5000  2 W 2.08
C  0.5000  0.0000  0.5000  2 W 2.08
C  0.5000  0.5000  0.0000  2 W 2.08

# TlWC2

A relaxed TlWC2 crystal (GGA-PBEsol, Alexandria).

Values from the calculation:
- E_form: 1.026 eV/atom
- Total magnetization: 0.000 μB/f.u.
- Space-group type: I-42d, No. 122

Cell lengths 5.9855, 5.9855, 5.9855 Å; angles 128.68, 128.68, 75.53 degrees
With the nearest neighbours (Å) after each atom.
Positions (direct):
Tl  0.0000  0.0000  0.0000  4 C 2.43
Tl  0.7500  0.2500  0.5000  4 C 2.43
W  0.2500  0.7500  0.5000  4 C 1.98
W  0.5000  0.5000  0.0000  4 C 1.98
C  0.1994  0.6250  0.0744  2 W 1.98
C  0.3750  0.4494  0.5744  2 W 1.98
C  0.5506  0.1250  0.9256  2 W 1.98
C  0.8750  0.8006  0.4256  2 W 1.98

# TlWC3

A relaxed TlWC3 crystal (GGA-PBEsol, Alexandria).

Values from the calculation:
- E_form: 3.958 eV/atom
- Total magnetization: 0.874 μB/f.u.
- Space-group type: Pm-3m, No. 221

Cell lengths 4.1323, 4.1323, 4.1323 Å; angles 90.00, 90.00, 90.00 degrees
With the nearest neighbours (Å) after each atom.
Positions (direct):
Tl  0.0000  0.0000  0.0000  6 C 2.07
W  0.5000  0.5000  0.5000  12 C 2.92
C  0.0000  0.0000  0.5000  2 Tl 2.07
C  0.0000  0.5000  0.0000  2 Tl 2.07
C  0.5000  0.0000  0.0000  2 Tl 2.07

Question: Which formula does entry 9 have?
Answer: Tl2WC